{
  "formula": "Rb2UBe2O6",
  "functional": "PBE-GGA",
  "state": "relaxed",
  "lattice_angstrom": [[2.814, 1.624, 6.250], [-2.814, 1.624, 6.250], [0.000, -3.249, 6.250]],
  "species": ["Rb", "Rb", "U", "Be", "Be", "O", "O", "O", "O", "O", "O"],
  "fractional_positions": [[0.211, 0.211, 0.211], [0.789, 0.789, 0.789], [0.000, 0.000, 0.000], [0.398, 0.398, 0.398], [0.602, 0.602, 0.602], [0.240, 0.240, 0.718], [0.240, 0.718, 0.240], [0.282, 0.760, 0.760], [0.718, 0.240, 0.240], [0.760, 0.282, 0.760], [0.760, 0.760, 0.282]],
  "density_g_cm3": 5.1,
  "crystal_system": "trigonal",
  "n_ef_per_ev_atom": 0.00,
  "spacegroup": "R-3m (166)",
  "energy_ev_per_atom": -7.17
}